# 1
The following is a PBE calculation of an optimized crystal structure of SrZnBi, from Alexandria via LeMat-Bulk.

* total magnetic moment: 0.00 Bohr magnetons per cell
* SG: No. 156
* mass density: 6.495 g/cm3
* VASP energy: -0.10107 hartree per atom

a b c (Å): 4.8066 4.7152 4.7152
angles (deg): 120.00 90.00 90.00
Closest atoms and distances in Å follow each position.
Fractional coordinates of all 3 atoms:
Zn 0.0778 0.0000 0.0000  3 Bi 2.81-2.82
Sr 0.6953 0.6667 0.3333  3 Zn 3.28, 3 Bi 3.53
Bi 0.2268 0.3333 0.6667  3 Zn 2.81-2.82


# 2
The following is a PBE calculation of an optimized crystal structure of Sr2ZnBi3, from Alexandria via LeMat-Bulk.

* total magnetic moment: 0.00 Bohr magnetons per cell
* SG: No. 25
* mass density: 6.835 g/cm3
* VASP energy: -0.11740 hartree per atom

a b c (Å): 4.5448 4.7138 9.8389
angles (deg): 90.00 90.00 90.00
Closest atoms and distances in Å follow each position.
Fractional coordinates of all 6 atoms:
Bi 0.0000 0.5000 0.8154  2 Zn 2.73
Bi 0.5000 0.5000 0.3827  1 Zn 2.75
Bi 0.0000 0.5000 0.1414  3 Bi 3.21-3.29
Zn 0.5000 0.5000 0.6621  3 Bi 2.73-2.75
Sr 0.5000 0.0000 0.9877  8 Bi 3.61-3.69, 2 Zn 3.98
Sr 0.0000 0.0000 0.5107  6 Bi 3.51-3.81, 4 Zn 3.60


# 3
The following is a PBE calculation of an optimized crystal structure of SrZnBi2, from Alexandria via LeMat-Bulk.

* total magnetic moment: 0.00 Bohr magnetons per cell
* SG: No. 123
* mass density: 8.000 g/cm3
* VASP energy: -0.11029 hartree per atom

a b c (Å): 4.8354 4.9508 4.9508
angles (deg): 90.00 90.00 90.00
Closest atoms and distances in Å follow each position.
Fractional coordinates of all 4 atoms:
Zn 0.5000 0.0000 0.0000  8 Bi 3.46, 4 Sr 3.50
Sr 0.5000 0.5000 0.5000  8 Bi 3.46, 4 Zn 3.50
Bi 0.0000 0.5000 0.0000  4 Sr 3.46, 4 Zn 3.46, 4 Bi 3.50
Bi 0.0000 0.0000 0.5000  4 Sr 3.46, 4 Zn 3.46, 4 Bi 3.50


What is the formula in the first record? SrZnBi